Entry from the Alexandria database: crystalline PmDy3Er2Tm6 at its relaxed geometry (PBE).

Values from the calculation:
E_tot: -4.52 eV per atom
space group: No. 12
ΔE_f: 0.022 eV per atom

Cell: 6.089 6.089 11.642 Å, 94.99 94.99 119.95°
Element x y z (fractional)
Pm: 0.000 0.000 0.000
Dy: 0.167 0.833 0.500
Dy: 0.500 0.500 0.500
Dy: 0.833 0.167 0.500
Er: 0.333 0.667 0.000
Er: 0.667 0.333 0.000
Tm: 0.084 0.418 0.250
Tm: 0.250 0.250 0.750
Tm: 0.418 0.084 0.250
Tm: 0.582 0.916 0.750
Tm: 0.750 0.750 0.250
Tm: 0.916 0.582 0.750

Entry from the Alexandria database: crystalline Pm2DyErTm at its relaxed geometry (PBE).

Values from the calculation:
E_tot: -4.19 eV per atom
space group: No. 63
ΔE_f: 0.439 eV per atom

Cell: 7.092 7.092 7.248 Å, 90.00 90.00 107.57°
Element x y z (fractional)
Pm: 0.192 0.192 0.000
Pm: 0.192 0.192 0.500
Pm: 0.808 0.808 0.000
Pm: 0.808 0.808 0.500
Dy: 0.491 0.509 0.750
Dy: 0.509 0.491 0.250
Er: 0.221 0.779 0.750
Er: 0.779 0.221 0.250
Tm: 0.230 0.770 0.250
Tm: 0.770 0.230 0.750

Entry from the Alexandria database: crystalline Pm5DyEr2Tm at its relaxed geometry (PBE).

Values from the calculation:
E_tot: -4.51 eV per atom
space group: No. 36
ΔE_f: 0.147 eV per atom

Cell: 10.484 10.484 10.637 Å, 90.00 90.00 148.89°
Element x y z (fractional)
Pm: 0.017 0.983 0.500
Pm: 0.115 0.885 0.779
Pm: 0.201 0.799 0.465
Pm: 0.220 0.780 0.071
Pm: 0.483 0.517 0.775
Pm: 0.517 0.483 0.275
Pm: 0.780 0.220 0.571
Pm: 0.799 0.201 0.965
Pm: 0.885 0.115 0.279
Pm: 0.983 0.017 0.000
Dy: 0.091 0.909 0.218
Dy: 0.909 0.091 0.718
Er: 0.386 0.614 0.068
Er: 0.388 0.612 0.496
Er: 0.612 0.388 0.996
Er: 0.614 0.386 0.568
Tm: 0.302 0.698 0.769
Tm: 0.698 0.302 0.269

Entry from the Alexandria database: crystalline Pm2Dy2ErTm4 at its relaxed geometry (PBE).

Values from the calculation:
E_tot: -4.57 eV per atom
space group: No. 12
ΔE_f: -0.002 eV per atom

Cell: 9.428 9.428 9.481 Å, 115.25 115.25 21.81°
Element x y z (fractional)
Pm: 0.165 0.165 0.000
Pm: 0.835 0.835 0.000
Dy: 0.353 0.353 0.338
Dy: 0.647 0.647 0.662
Er: 0.500 0.500 0.000
Tm: 0.019 0.019 0.335
Tm: 0.315 0.315 0.664
Tm: 0.685 0.685 0.336
Tm: 0.981 0.981 0.665

Entry from the Alexandria database: crystalline PmDyErTm3 at its relaxed geometry (PBE).

Values from the calculation:
E_tot: -4.53 eV per atom
space group: No. 63
ΔE_f: 0.024 eV per atom

Cell: 7.883 7.883 9.979 Å, 90.00 90.00 143.12°
Element x y z (fractional)
Pm: 0.000 0.000 0.250
Pm: 0.000 0.000 0.750
Dy: 0.500 0.500 0.000
Dy: 0.500 0.500 0.500
Er: 0.332 0.668 0.750
Er: 0.668 0.332 0.250
Tm: 0.168 0.832 0.000
Tm: 0.168 0.832 0.500
Tm: 0.332 0.668 0.250
Tm: 0.668 0.332 0.750
Tm: 0.832 0.168 0.000
Tm: 0.832 0.168 0.500

Entry from the Alexandria database: crystalline PmDy4ErTm2 at its relaxed geometry (PBE).

Values from the calculation:
E_tot: -4.57 eV per atom
space group: No. 2
ΔE_f: 0.018 eV per atom

Cell: 7.073 7.082 9.971 Å, 90.08 90.03 90.10°
Element x y z (fractional)
Pm: 0.000 0.000 0.000
Pm: 0.000 0.500 0.500
Dy: 0.251 0.250 0.250
Dy: 0.251 0.250 0.750
Dy: 0.252 0.750 0.250
Dy: 0.252 0.750 0.750
Dy: 0.748 0.250 0.250
Dy: 0.748 0.250 0.750
Dy: 0.749 0.750 0.250
Dy: 0.749 0.750 0.750
Er: 0.000 0.500 0.000
Er: 0.500 0.500 0.000
Tm: 0.000 0.000 0.500
Tm: 0.500 0.000 0.000
Tm: 0.500 0.000 0.500
Tm: 0.500 0.500 0.500

Entry from the Alexandria database: crystalline PmDyEr2Tm2 at its relaxed geometry (PBE).

Values from the calculation:
E_tot: -4.29 eV per atom
space group: No. 58
ΔE_f: 0.285 eV per atom

Cell: 6.504 17.587 3.373 Å, 90.00 90.00 90.00°
Element x y z (fractional)
Pm: 0.000 0.000 0.000
Pm: 0.500 0.500 0.500
Dy: 0.000 0.500 0.000
Dy: 0.500 0.000 0.500
Er: 0.226 0.185 0.000
Er: 0.274 0.685 0.500
Er: 0.726 0.315 0.500
Er: 0.774 0.815 0.000
Tm: 0.224 0.351 0.500
Tm: 0.276 0.851 0.000
Tm: 0.724 0.149 0.000
Tm: 0.776 0.649 0.500

Entry from the Alexandria database: crystalline Pm3Dy6Er2Tm at its relaxed geometry (PBE).

Values from the calculation:
E_tot: -4.60 eV per atom
space group: No. 12
ΔE_f: 0.019 eV per atom

Cell: 6.163 6.163 11.782 Å, 94.99 94.99 119.97°
Element x y z (fractional)
Pm: 0.000 0.000 0.000
Pm: 0.333 0.667 0.000
Pm: 0.667 0.333 0.000
Dy: 0.085 0.418 0.254
Dy: 0.249 0.249 0.746
Dy: 0.418 0.085 0.254
Dy: 0.582 0.915 0.746
Dy: 0.751 0.751 0.254
Dy: 0.915 0.582 0.746
Er: 0.167 0.833 0.500
Er: 0.833 0.167 0.500
Tm: 0.500 0.500 0.500

Entry from the Alexandria database: crystalline PmDy3ErTm at its relaxed geometry (PBE).

Values from the calculation:
E_tot: -4.40 eV per atom
space group: No. 12
ΔE_f: 0.203 eV per atom

Cell: 11.363 11.363 6.749 Å, 97.99 97.99 27.45°
Element x y z (fractional)
Pm: 0.131 0.131 0.474
Pm: 0.869 0.869 0.526
Dy: 0.025 0.025 0.774
Dy: 0.274 0.274 0.688
Dy: 0.331 0.331 0.224
Dy: 0.669 0.669 0.776
Dy: 0.726 0.726 0.312
Dy: 0.975 0.975 0.226
Er: 0.167 0.167 0.031
Er: 0.833 0.833 0.969
Tm: 0.427 0.427 0.844
Tm: 0.573 0.573 0.156

Entry from the Alexandria database: crystalline PmDy2ErTm at its relaxed geometry (PBE).

Values from the calculation:
E_tot: -4.21 eV per atom
space group: No. 63
ΔE_f: 0.387 eV per atom

Cell: 7.067 7.067 7.181 Å, 90.00 90.00 107.60°
Element x y z (fractional)
Pm: 0.228 0.772 0.750
Pm: 0.772 0.228 0.250
Dy: 0.192 0.192 0.000
Dy: 0.192 0.192 0.500
Dy: 0.808 0.808 0.000
Dy: 0.808 0.808 0.500
Er: 0.223 0.777 0.250
Er: 0.777 0.223 0.750
Tm: 0.500 0.500 0.250
Tm: 0.500 0.500 0.750